An optimized crystal structure of Ba2GaSn6Pd. Source: the Alexandria database, functional PBE.

a = 6.897 Å, b = 6.897 Å, c = 15.818 Å
α = 77.41°, β = 77.41°, γ = 60.00°
Positions (direct):
Sn: 0.197 0.748 0.858
Ga: 0.577 0.577 0.268
Sn: 0.655 0.655 0.599
Sn: 0.655 0.091 0.599
Sn: 0.345 0.345 0.401
Pd: 0.000 0.000 0.000
Ba: 0.313 0.313 0.060
Ba: 0.687 0.687 0.940
Sn: 0.345 0.909 0.401
Sn: 0.252 0.803 0.142
Sn: 0.803 0.803 0.142
Sn: 0.909 0.345 0.401
Sn: 0.803 0.252 0.142
Ba: 0.118 0.118 0.647
Pd: 0.500 0.500 0.500
Sn: 0.748 0.197 0.858
Sn: 0.091 0.655 0.599
Sn: 0.197 0.197 0.858
Ga: 0.423 0.423 0.732
Ba: 0.882 0.882 0.353

Output
**Energy relative to the elements**: -0.3146 eV/atom

---

An optimized crystal structure of BaGaSnPd. Source: the Alexandria database, functional PBE.

a = 4.518 Å, b = 4.518 Å, c = 6.734 Å
α = 70.40°, β = 70.40°, γ = 60.00°
Positions (direct):
Ba: 0.815 0.815 0.556
Pd: 0.626 0.626 0.121
Sn: 0.016 0.016 0.953
Ga: 0.269 0.269 0.192

Output
**Energy relative to the elements**: -0.6227 eV/atom

---

Number 1: VASP energy -3.923 eV/atom. Number 2: VASP energy -4.159 eV/atom.